# BeNbCuPb | the Open Quantum Materials Database | PBE-GGA | optimized geometry
data_BeNbCuPb
_chemical_formula_sum 'Be4 Nb4 Cu4 Pb4'
_space_group_name_H-M_alt 'F -4 3 m'
_space_group_IT_number 216
_space_group_name_Hall 'F -4 2 3'
_cell_length_a 6.3977
_cell_length_b 6.3977
_cell_length_c 6.3977
_cell_angle_alpha 90.00
_cell_angle_beta 90.00
_cell_angle_gamma 90.00
loop_
_atom_site_label
_atom_site_fract_x
_atom_site_fract_y
_atom_site_fract_z
_atom_site_occupancy
Be1 0.0000 0.0000 0.0000 1
Nb1 0.2500 0.2500 0.7500 1
Cu1 0.0000 0.0000 0.5000 1
Pb1 0.2500 0.2500 0.2500 1
# Energy above the lowest structure with this stoichiometry in eV/f.u.: 0.00
# Magnetic moment in μB/cell: 7.04
# Calculated volume in Å³/cell: 262